The following is a DFT calculation (PBE) of crystalline Ba2NaTh at its relaxed geometry.

a b c (Å): 3.7265 3.7265 42.9392
angles (deg): 90.00 90.00 120.00
Space group R-3m (No. 166, hexagonal axes)
Unique sites:
Ba (0.0000, 0.0000, 0.0857) x6
Na (0.0000, 0.0000, 0.5000) x3
Th (0.0000, 0.0000, 0.0000) x3

Values from the calculation:
Formation energy from the elements: 0.441 eV/atom